[1]
The following is a DFT calculation (PBE) of an optimized crystal structure of Pr5P4Br.

## Properties
Calculated density, g cm⁻³: 5.66
Magnetization, μB per formula unit: 0.0
Calculated volume, Å³ per cell: 266
E_form (uncorrected), eV/atom: -1.54

Cell and atoms, written as CIF:
```
data_Pr5P4Br
_symmetry_space_group_name_H-M 'P 1'
_symmetry_Int_Tables_number 1
_cell_length_a 5.956
_cell_length_b 7.321
_cell_length_c 7.321
_cell_angle_alpha 80.48
_cell_angle_beta 66.00
_cell_angle_gamma 66.00
loop_
_symmetry_equiv_pos_as_xyz
'x,y,z'
loop_
_atom_site_label
_atom_site_fract_x
_atom_site_fract_y
_atom_site_fract_z
Pr1 0.893 0.425 0.791
Pr2 0.318 0.791 0.575
Pr3 0.684 0.209 0.425
Pr4 0.109 0.575 0.209
Pr5 0.501 0.000 0.000
P1 0.398 0.400 0.807
P2 0.798 0.807 0.600
P3 0.204 0.193 0.400
P4 0.604 0.600 0.193
Br1 0.001 0.000 0.000
```



[2]
The following is a DFT calculation (PBE) of an optimized crystal structure of CeNi2Sn2.

## Properties
Calculated density, g cm⁻³: 8.23
Magnetization, μB per formula unit: 0.6
Calculated volume, Å³ per cell: 200
E_tot, eV/atom: -5.609

Cell and atoms, written as CIF:
```
data_CeNi2Sn2
_symmetry_space_group_name_H-M 'P 1'
_symmetry_Int_Tables_number 1
_cell_length_a 4.438
_cell_length_b 4.523
_cell_length_c 9.959
_cell_angle_alpha 92.74
_cell_angle_beta 90.00
_cell_angle_gamma 90.00
loop_
_symmetry_equiv_pos_as_xyz
'x,y,z'
loop_
_atom_site_label
_atom_site_fract_x
_atom_site_fract_y
_atom_site_fract_z
Ce1 0.250 0.724 0.237
Ce2 0.750 0.276 0.763
Ni1 0.250 0.762 0.628
Ni2 0.750 0.238 0.372
Ni3 0.250 0.328 0.003
Ni4 0.750 0.672 0.997
Sn1 0.250 0.807 0.880
Sn2 0.750 0.193 0.120
Sn3 0.250 0.250 0.501
Sn4 0.750 0.750 0.499
```



[3]
The following is a DFT calculation (PBE) of an optimized crystal structure of PrInGa2Pt5.

## Properties
Calculated density, g cm⁻³: 13.41
Magnetization, μB per formula unit: 0.0
Calculated volume, Å³ per cell: 170
E_tot, eV/atom: -5.429

Cell and atoms, written as CIF:
```
data_PrInGa2Pt5
_symmetry_space_group_name_H-M 'P 1'
_symmetry_Int_Tables_number 1
_cell_length_a 4.227
_cell_length_b 4.227
_cell_length_c 9.496
_cell_angle_alpha 90.00
_cell_angle_beta 90.00
_cell_angle_gamma 90.00
loop_
_symmetry_equiv_pos_as_xyz
'x,y,z'
loop_
_atom_site_label
_atom_site_fract_x
_atom_site_fract_y
_atom_site_fract_z
Pr1 0.000 0.000 0.500
In1 0.000 0.000 0.000
Ga1 0.500 0.500 0.130
Ga2 0.500 0.500 0.870
Pt1 0.000 0.500 0.273
Pt2 0.500 0.000 0.273
Pt3 0.000 0.500 0.727
Pt4 0.500 0.000 0.727
Pt5 0.500 0.500 0.500
```



[4]
The following is a DFT calculation (PBE) of an optimized crystal structure of BPdCl2.

## Properties
Calculated density, g cm⁻³: 4.14
Magnetization, μB per formula unit: 0.0
Calculated volume, Å³ per cell: 151
E_form (uncorrected), eV/atom: 0.72
ΔE to the lowest computed polymorph, meV/atom: 179

Cell and atoms, written as CIF:
```
data_BPdCl2
_symmetry_space_group_name_H-M 'P 1'
_symmetry_Int_Tables_number 1
_cell_length_a 5.327
_cell_length_b 5.327
_cell_length_c 6.522
_cell_angle_alpha 65.90
_cell_angle_beta 65.90
_cell_angle_gamma 90.00
loop_
_symmetry_equiv_pos_as_xyz
'x,y,z'
loop_
_atom_site_label
_atom_site_fract_x
_atom_site_fract_y
_atom_site_fract_z
B1 0.500 0.500 0.000
B2 0.250 0.750 0.500
Pd1 0.000 0.000 0.000
Pd2 0.750 0.250 0.500
Cl1 0.543 0.125 0.250
Cl2 0.207 0.625 0.250
Cl3 0.375 0.457 0.750
Cl4 0.875 0.793 0.750
```



[5]
The following is a DFT calculation (PBE) of an optimized crystal structure of Be4ReSb.

## Properties
Calculated density, g cm⁻³: 8.60
Magnetization, μB per formula unit: 0.0
Calculated volume, Å³ per cell: 66
E_form (uncorrected), eV/atom: 0.05

Cell and atoms, written as CIF:
```
data_Be4ReSb
_symmetry_space_group_name_H-M 'P 1'
_symmetry_Int_Tables_number 1
_cell_length_a 4.546
_cell_length_b 4.546
_cell_length_c 4.546
_cell_angle_alpha 60.00
_cell_angle_beta 60.00
_cell_angle_gamma 60.00
loop_
_symmetry_equiv_pos_as_xyz
'x,y,z'
loop_
_atom_site_label
_atom_site_fract_x
_atom_site_fract_y
_atom_site_fract_z
Be1 0.868 0.377 0.377
Be2 0.377 0.377 0.868
Be3 0.377 0.868 0.377
Be4 0.377 0.377 0.377
Re1 0.750 0.750 0.750
Sb1 0.000 0.000 0.000
```



[6]
The following is a DFT calculation (PBE) of an optimized crystal structure of CoTcNi2.

## Properties
Calculated density, g cm⁻³: 9.56
Magnetization, μB per formula unit: 2.7
Calculated volume, Å³ per cell: 48
ΔE to the lowest computed polymorph, meV/atom: 68

Cell and atoms, written as CIF:
```
data_CoTcNi2
_symmetry_space_group_name_H-M 'P 1'
_symmetry_Int_Tables_number 1
_cell_length_a 4.513
_cell_length_b 4.513
_cell_length_c 2.520
_cell_angle_alpha 90.03
_cell_angle_beta 90.03
_cell_angle_gamma 111.80
loop_
_symmetry_equiv_pos_as_xyz
'x,y,z'
loop_
_atom_site_label
_atom_site_fract_x
_atom_site_fract_y
_atom_site_fract_z
Co1 0.000 0.500 0.500
Ni1 0.000 0.000 0.000
Ni2 0.500 0.500 0.000
Tc1 0.500 0.000 0.500
```



[7]
The following is a DFT calculation (PBE) of an optimized crystal structure of KHgGeI2.

## Properties
Calculated density, g cm⁻³: 4.69
Magnetization, μB per formula unit: 0.0
Calculated volume, Å³ per cell: 201
E_form (uncorrected), eV/atom: -0.50

Cell and atoms, written as CIF:
```
data_KHgGeI2
_symmetry_space_group_name_H-M 'P 1'
_symmetry_Int_Tables_number 1
_cell_length_a 6.081
_cell_length_b 6.081
_cell_length_c 5.422
_cell_angle_alpha 90.00
_cell_angle_beta 90.00
_cell_angle_gamma 90.00
loop_
_symmetry_equiv_pos_as_xyz
'x,y,z'
loop_
_atom_site_label
_atom_site_fract_x
_atom_site_fract_y
_atom_site_fract_z
I1 0.000 0.500 0.000
I2 0.500 0.000 0.000
Ge1 0.000 0.000 0.000
K1 0.500 0.500 0.500
Hg1 0.000 0.000 0.500
```



[8]
The following is a DFT calculation (PBE) of an optimized crystal structure of PaTaBi.

## Properties
Calculated density, g cm⁻³: 12.92
Magnetization, μB per formula unit: 0.0
Calculated volume, Å³ per cell: 160
ΔE to the lowest computed polymorph, meV/atom: 0

Cell and atoms, written as CIF:
```
data_PaTaBi
_symmetry_space_group_name_H-M 'P 1'
_symmetry_Int_Tables_number 1
_cell_length_a 3.259
_cell_length_b 3.259
_cell_length_c 15.204
_cell_angle_alpha 96.15
_cell_angle_beta 96.15
_cell_angle_gamma 90.00
loop_
_symmetry_equiv_pos_as_xyz
'x,y,z'
loop_
_atom_site_label
_atom_site_fract_x
_atom_site_fract_y
_atom_site_fract_z
Ta1 0.278 0.278 0.555
Ta2 0.722 0.722 0.445
Pa1 0.153 0.153 0.305
Pa2 0.847 0.847 0.695
Bi1 0.565 0.565 0.129
Bi2 0.435 0.435 0.871
```